[1]
PrScPd | PBE-GGA | optimized geometry

Computed properties:
The relative energy among the computed polymorphs is 0.56 eV/f.u. Its formation energy is -1.19 eV per formula unit. As for the crystal system: trigonal.

a = 4.6415 Å, b = 4.6415 Å, c = 4.0016 Å
α = 90.00°, β = 90.00°, γ = 120.00°
With the nearest neighbours (Å) after each atom.
Space group P3m1 (No. 156)
Inequivalent atoms, fractional coordinates:
Pr (0.0000, 0.0000, 0.0000)  6 Pd 3.18-3.53, 6 Sc 3.31-3.38
Sc (0.6667, 0.3333, 0.4841)  3 Pd 2.70
Pd (0.3333, 0.6667, 0.5742)  3 Sc 2.70

---

[2]
CdTe2Rh | PBE-GGA | optimized geometry

Computed properties:
The uncorrected formation energy is 1.06 eV per formula unit. As for the crystal system: tetragonal.

a = 4.1566 Å, b = 4.1566 Å, c = 10.5682 Å
α = 90.00°, β = 90.00°, γ = 90.00°
With the nearest neighbours (Å) after each atom.
Space group I-4m2 (No. 119)
Inequivalent atoms, fractional coordinates:
Cd (0.0000, 0.0000, 0.0000)  4 Te 2.94
Te (0.0000, 0.0000, 0.5000)  4 Cd 2.94
Te (0.0000, 0.5000, 0.2500)  4 Rh 2.94
Rh (0.0000, 0.5000, 0.7500)  4 Te 2.94

---

Ordered D(E_F) results: 0.81, 0.65; unit states/eV per atom.